Record 1
Entry from Alexandria: a geometry-optimized YPa2SbN5 structure (PBE).

a b c (Å): 3.6103 7.5550 11.8216
angles (deg): 90.00 90.00 103.82
With the nearest neighbours (Å) after each atom.
Fractional coordinates of all 18 atoms:
1 Y 0.7595 0.5190 0.4527  6 N 2.33-2.58
2 Y 0.2405 0.4810 0.9527  6 N 2.33-2.58
3 Pa 0.8585 0.7171 0.7234  3 N 2.09-2.26
4 Pa 0.1414 0.2829 0.6820  3 N 2.09-2.26
5 Pa 0.1415 0.2829 0.2234  3 N 2.09-2.26
6 Pa 0.8586 0.7171 0.1820  3 N 2.09-2.26
7 Sb 0.4775 0.9550 0.9529  2 N 2.09
8 Sb 0.5225 0.0450 0.4529  2 N 2.09
9 N 0.3694 0.7387 0.0675  1 Sb 2.09, 2 Pa 2.26, 1 Y 2.33
10 N 0.7095 0.4190 0.8019  3 Pa 2.38-2.50, 2 Y 2.58
11 N 0.3695 0.7390 0.8380  1 Sb 2.09, 2 Pa 2.26, 1 Y 2.33
12 N 0.2904 0.5809 0.6037  3 Pa 2.37-2.50, 2 Y 2.58
13 N 0.9999 0.9998 0.7018  2 Pa 2.09
14 N 0.6306 0.2613 0.5675  1 Sb 2.09, 2 Pa 2.26, 1 Y 2.33
15 N 0.2905 0.5810 0.3019  3 Pa 2.38-2.50, 2 Y 2.58
16 N 0.6305 0.2610 0.3380  1 Sb 2.09, 2 Pa 2.26, 1 Y 2.33
17 N 0.7096 0.4191 0.1037  3 Pa 2.37-2.50, 2 Y 2.58
18 N 0.0001 0.0002 0.2018  2 Pa 2.09

Total moment: 0.00 μB per formula unit
Space-group type: Cmc2_1, No. 36
Energy relative to the elements, uncorrected: -106.4 kJ/mol of atoms
E: -162.26 eV for the cell shown


Record 2
Entry from Alexandria: a geometry-optimized Ho3InGa4 structure (PBE).

a b c (Å): 3.5695 6.3929 9.1032
angles (deg): 110.56 101.31 90.00
With the nearest neighbours (Å) after each atom.
Fractional coordinates of all 8 atoms:
1 Ho 0.2082 0.2082 0.4163  6 Ga 2.94-3.02
2 Ho 0.7918 0.7918 0.5837  6 Ga 2.94-3.02
3 Ho 0.0000 0.5000 0.0000  8 Ga 3.06
4 In 0.5000 0.0000 0.0000  4 Ga 2.86
5 Ga 0.3725 0.5732 0.7450  1 Ga 2.57, 1 In 2.86
6 Ga 0.6275 0.4268 0.2550  1 Ga 2.57, 1 In 2.86
7 Ga 0.6275 0.8283 0.2550  1 Ga 2.57, 1 In 2.86
8 Ga 0.3725 0.1717 0.7450  1 Ga 2.57, 1 In 2.86

Total moment: 0.00 μB per formula unit
Space-group type: Immm, No. 71
E: -31.66 eV for the cell shown


Record 3
Entry from Alexandria: a geometry-optimized SiPS2 structure (PBE).

a b c (Å): 6.5385 6.5385 5.6594
angles (deg): 54.71 54.71 90.00
With the nearest neighbours (Å) after each atom.
Fractional coordinates of all 8 atoms:
1 P 0.0000 0.0000 0.0000  4 S 2.51
2 P 0.7500 0.2500 0.5000  4 S 2.51
3 S 0.6111 0.1250 0.2500  2 Si 2.39, 2 P 2.51
4 S 0.1389 0.6250 0.2500  2 Si 2.39, 2 P 2.51
5 S 0.3750 0.3889 0.7500  2 Si 2.39, 2 P 2.51
6 S 0.8750 0.8611 0.7500  2 Si 2.39, 2 P 2.51
7 Si 0.5000 0.5000 0.0000  4 S 2.39
8 Si 0.2500 0.7500 0.5000  4 S 2.39

Total moment: 0.00 μB per formula unit
Space-group type: I-42d, No. 122
Energy relative to the elements, uncorrected: 39.3 kJ/mol of atoms
E: -34.92 eV for the cell shown
Distance to the lowest polymorph of the same formula: 552 meV per atom


Record 4
Entry from Alexandria: a geometry-optimized Ca2ScP structure (PBE).

a b c (Å): 3.9195 4.6815 6.5840
angles (deg): 69.18 90.00 90.00
With the nearest neighbours (Å) after each atom.
Fractional coordinates of all 4 atoms:
1 Ca 0.0000 0.9512 0.9725  1 P 3.00
2 Ca 0.5000 0.2671 0.3408  4 P 3.14, 2 Sc 3.34
3 P 0.0000 0.7079 0.4592  2 Sc 2.56
4 Sc 0.5000 0.5737 0.7275  2 P 2.56

Total moment: 0.00 μB per formula unit
Space-group type: Amm2, No. 38
E: -17.94 eV for the cell shown